Record 1
VASP calculation (PBE) on La2PtO2 after structural relaxation.

Cell lengths 3.969, 3.969, 7.034 Å; angles 73.61, 73.61, 90.00 degrees
Element x y z (fractional)
O 0.250 0.750 0.500
O 0.750 0.250 0.500
La 0.651 0.651 0.698
La 0.349 0.349 0.302
Pt 0.000 0.000 0.000

## Properties
Space group   I4/mmm (139)
Crystal system   tetragonal
Fermi-level density of states   0.000 states/eV/atom
Calculated total energy   -7.74 eV per atom
Energy above the lowest structure with this stoichiometry   0.000 eV/atom
Formation energy (no corrections)   -2.582 eV per atom
Calculated volume   20.32 Å³/atom

Record 2
VASP calculation (PBE) on NiTe2CI after structural relaxation.

Cell lengths 4.730, 4.730, 4.933 Å; angles 90.00, 90.00, 90.00 degrees
Element x y z (fractional)
C 0.000 0.000 0.000
I 0.000 0.000 0.500
Ni 0.500 0.500 0.500
Te 0.500 0.000 0.000
Te 0.000 0.500 0.000

## Properties
Space group   P4/mmm (123)
Crystal system   tetragonal
Fermi-level density of states   1.278 states/eV/atom
Calculated total energy   -3.15 eV per atom
Energy above the lowest structure with this stoichiometry   0.000 eV/atom
Formation energy (no corrections)   1.419 eV per atom
Calculated volume   22.07 Å³/atom

Record 3
VASP calculation (PBE) on BeCu3Pd after structural relaxation.

Cell lengths 4.010, 4.010, 4.010 Å; angles 90.00, 90.00, 90.00 degrees
Element x y z (fractional)
Cu 0.000 0.500 0.000
Cu 0.500 0.000 0.000
Cu 0.000 0.000 0.500
Pd 0.500 0.500 0.500
Be 0.000 0.000 0.000

## Properties
Space group   Pm-3m (221)
Crystal system   cubic
Fermi-level density of states   0.464 states/eV/atom
Calculated total energy   -3.91 eV per atom
Energy above the lowest structure with this stoichiometry   0.000 eV/atom
Calculated volume   12.90 Å³/atom
Formation energy from the elements   329 meV per atom

Record 4
VASP calculation (PBE) on SmZn8Fe4 after structural relaxation.

Cell lengths 4.981, 6.710, 6.710 Å; angles 82.08, 68.22, 68.22 degrees
Element x y z (fractional)
Zn 0.500 0.771 0.229
Zn 0.000 0.341 0.659
Zn 0.341 0.659 0.659
Zn 0.271 0.229 0.229
Zn 0.000 0.659 0.341
Zn 0.659 0.341 0.341
Zn 0.729 0.771 0.771
Zn 0.500 0.229 0.771
Fe 0.000 0.500 0.000
Fe 0.500 0.000 0.500
Fe 0.500 0.500 0.000
Fe 0.000 0.000 0.500
Sm 0.000 0.000 0.000

## Properties
Space group   I4/mmm (139)
Crystal system   tetragonal
Fermi-level density of states   0.885 states/eV/atom
Calculated total energy   -3.82 eV per atom
Calculated volume   14.88 Å³/atom
Formation energy from the elements   -72 meV per atom

Record 5
VASP calculation (PBE) on Pm3Mg2Hg4 after structural relaxation.

Cell lengths 5.202, 5.203, 9.784 Å; angles 90.00, 90.00, 120.00 degrees
Element x y z (fractional)
Hg 0.000 0.000 0.334
Hg 0.667 0.333 0.090
Hg 0.333 0.667 0.910
Hg 0.000 0.000 0.666
Mg 0.667 0.334 0.776
Mg 0.333 0.666 0.224
Pm 0.000 0.000 0.000
Pm 0.333 0.667 0.594
Pm 0.667 0.333 0.406

## Properties
Space group   P-3m1 (164)
Crystal system   trigonal
Fermi-level density of states   0.435 states/eV/atom
Calculated total energy   -2.48 eV per atom
Energy above the lowest structure with this stoichiometry   0.000 eV/atom
Calculated volume   25.48 Å³/atom
Formation energy from the elements   -406 meV per atom

Record 6
VASP calculation (PBE) on Pr7Cu2Ni2 after structural relaxation.

Cell lengths 6.891, 7.119, 6.891 Å; angles 90.00, 113.50, 90.00 degrees
Element x y z (fractional)
Pr 0.000 0.264 0.500
Pr 0.000 0.736 0.500
Pr 0.000 0.000 0.000
Pr 0.500 0.736 0.000
Pr 0.500 0.264 0.000
Pr 0.500 0.255 0.500
Pr 0.500 0.745 0.500
Ni 0.694 0.000 0.306
Ni 0.306 0.000 0.694
Cu 0.837 0.500 0.837
Cu 0.163 0.500 0.163

## Properties
Space group   Cmmm (65)
Crystal system   orthorhombic
Fermi-level density of states   1.191 states/eV/atom
Calculated total energy   -4.83 eV per atom
Calculated volume   28.18 Å³/atom
Formation energy from the elements   10 meV per atom

Record 7
VASP calculation (PBE) on Mg2Si after structural relaxation.

Cell lengths 4.154, 8.198, 8.195 Å; angles 64.18, 75.22, 75.17 degrees
Element x y z (fractional)
Si 0.216 0.783 0.283
Si 0.784 0.217 0.717
Si 0.000 0.297 0.203
Si 0.000 0.703 0.797
Mg 0.355 0.935 0.853
Mg 0.645 0.065 0.147
Mg 0.356 0.352 0.436
Mg 0.000 0.000 0.500
Mg 0.500 0.500 0.000
Mg 0.840 0.659 0.160
Mg 0.644 0.648 0.564
Mg 0.160 0.341 0.840

## Properties
Space group   P-1 (2)
Crystal system   triclinic
Fermi-level density of states   0.304 states/eV/atom
Calculated total energy   -2.90 eV per atom
Formation energy (no corrections)   -0.029 eV per atom
Calculated volume   19.96 Å³/atom

Record 8
VASP calculation (PBE) on NaAcCu2As2 after structural relaxation.

Cell lengths 4.276, 4.276, 8.286 Å; angles 90.00, 90.00, 120.00 degrees
Element x y z (fractional)
As 0.667 0.333 0.751
As 0.333 0.667 0.249
Cu 0.667 0.333 0.235
Cu 0.333 0.667 0.765
Na 0.000 0.000 0.000
Ac 0.000 0.000 0.500

## Properties
Space group   P-3m1 (164)
Crystal system   trigonal
Fermi-level density of states   0.037 states/eV/atom
Calculated total energy   -4.46 eV per atom
Calculated volume   21.87 Å³/atom
Formation energy from the elements   -641 meV per atom

Record 9
VASP calculation (PBE) on PdF after structural relaxation.

Cell lengths 4.194, 4.456, 9.674 Å; angles 90.00, 90.00, 90.00 degrees
Element x y z (fractional)
Pd 0.000 0.670 0.782
Pd 0.000 0.593 0.500
Pd 0.000 0.670 0.218
Pd 0.500 0.407 0.000
Pd 0.500 0.330 0.282
Pd 0.500 0.330 0.718
F 0.500 0.926 0.148
F 0.000 0.074 0.352
F 0.000 0.074 0.648
F 0.500 0.578 0.500
F 0.000 0.422 0.000
F 0.500 0.926 0.852

## Properties
Space group   Pmmn (59)
Crystal system   orthorhombic
Fermi-level density of states   0.583 states/eV/atom
Calculated total energy   -4.01 eV per atom
Energy above the lowest structure with this stoichiometry   0.250 eV/atom
Formation energy (no corrections)   -0.475 eV per atom
Calculated volume   15.06 Å³/atom

Record 10
VASP calculation (PBE) on PtAuBr2 after structural relaxation.

Cell lengths 4.887, 4.887, 4.887 Å; angles 60.00, 60.00, 60.00 degrees
Element x y z (fractional)
Br 0.250 0.250 0.250
Br 0.000 0.000 0.000
Au 0.500 0.500 0.500
Pt 0.750 0.750 0.750

## Properties
Space group   F-43m (216)
Crystal system   cubic
Fermi-level density of states   0.947 states/eV/atom
Calculated total energy   -2.39 eV per atom
Energy above the lowest structure with this stoichiometry   0.749 eV/atom
Formation energy (no corrections)   0.774 eV per atom
Calculated volume   20.64 Å³/atom

Record 11
VASP calculation (PBE) on Zr4AlAu after structural relaxation.

Cell lengths 5.663, 5.663, 5.663 Å; angles 60.00, 60.00, 60.00 degrees
Element x y z (fractional)
Al 0.750 0.750 0.750
Zr 0.376 0.873 0.376
Zr 0.873 0.376 0.376
Zr 0.376 0.376 0.873
Zr 0.376 0.376 0.376
Au 0.000 0.000 0.000

## Properties
Space group   F-43m (216)
Crystal system   cubic
Fermi-level density of states   0.895 states/eV/atom
Calculated total energy   -6.69 eV per atom
Energy above the lowest structure with this stoichiometry   0.160 eV/atom
Calculated volume   21.41 Å³/atom
Formation energy from the elements   184 meV per atom

Record 12
VASP calculation (PBE) on Be2FePH after structural relaxation.

Cell lengths 3.245, 3.860, 3.245 Å; angles 90.00, 90.00, 90.00 degrees
Element x y z (fractional)
Fe 0.500 0.500 0.500
Be 0.500 0.000 0.000
Be 0.000 0.000 0.500
P 0.000 0.500 0.000
H 0.000 0.000 0.000

## Properties
Space group   P4/mmm (123)
Crystal system   tetragonal
Fermi-level density of states   0.291 states/eV/atom
Calculated total energy   -4.76 eV per atom
Calculated volume   8.13 Å³/atom

Record 13
VASP calculation (PBE) on La8Tb3Sm2 after structural relaxation.

Cell lengths 5.858, 7.745, 11.087 Å; angles 110.44, 90.01, 90.00 degrees
Element x y z (fractional)
La 0.000 0.674 0.348
La 0.500 0.403 0.208
La 0.500 0.597 0.792
La 0.500 0.805 0.208
La 0.000 0.132 0.263
La 0.000 0.326 0.652
La 0.000 0.868 0.737
La 0.500 0.195 0.792
Sm 0.501 0.759 0.518
Sm 0.499 0.241 0.482
Tb 0.500 0.000 0.000
Tb 0.000 0.281 0.000
Tb 0.000 0.719 0.000

## Properties
Space group   C2/m (12)
Crystal system   monoclinic
Fermi-level density of states   1.375 states/eV/atom
Calculated total energy   -4.65 eV per atom
Energy above the lowest structure with this stoichiometry   0.034 eV/atom
Calculated volume   36.26 Å³/atom
Formation energy from the elements   175 meV per atom

Record 14
VASP calculation (PBE) on AsP4Os after structural relaxation.

Cell lengths 5.022, 5.022, 5.022 Å; angles 60.00, 60.00, 60.00 degrees
Element x y z (fractional)
P 0.378 0.378 0.378
P 0.865 0.378 0.378
P 0.378 0.378 0.865
P 0.378 0.865 0.378
Os 0.000 0.000 0.000
As 0.750 0.750 0.750

## Properties
Space group   F-43m (216)
Crystal system   cubic
Fermi-level density of states   0.775 states/eV/atom
Calculated total energy   -5.15 eV per atom
Calculated volume   14.93 Å³/atom
Formation energy from the elements   1101 meV per atom

Record 15
VASP calculation (PBE) on Dy4Y4Tm3 after structural relaxation.

Cell lengths 3.527, 11.167, 10.799 Å; angles 121.13, 99.40, 90.00 degrees
Element x y z (fractional)
Y 0.500 0.206 0.000
Y 0.223 0.723 0.446
Y 0.500 0.794 0.000
Y 0.777 0.277 0.554
Dy 0.330 0.089 0.661
Dy 0.330 0.571 0.661
Dy 0.670 0.429 0.339
Dy 0.670 0.911 0.339
Tm 0.892 0.892 0.785
Tm 0.108 0.108 0.215
Tm 0.000 0.500 0.000

## Properties
Space group   Immm (71)
Crystal system   orthorhombic
Fermi-level density of states   1.482 states/eV/atom
Calculated total energy   -5.05 eV per atom
Energy above the lowest structure with this stoichiometry   0.136 eV/atom
Calculated volume   32.49 Å³/atom
Formation energy from the elements   197 meV per atom

Record 16
VASP calculation (PBE) on LiSmGdDy after structural relaxation.

Cell lengths 5.524, 5.524, 5.524 Å; angles 60.00, 60.00, 60.00 degrees
Element x y z (fractional)
Sm 0.000 0.000 0.000
Gd 0.750 0.750 0.750
Dy 0.500 0.500 0.500
Li 0.250 0.250 0.250

## Properties
Space group   F-43m (216)
Crystal system   cubic
Fermi-level density of states   1.213 states/eV/atom
Calculated total energy   -6.15 eV per atom
Calculated volume   29.79 Å³/atom
Formation energy from the elements   184 meV per atom

Record 17
VASP calculation (PBE) on Pa3ZnPd6 after structural relaxation.

Cell lengths 7.833, 6.132, 6.132 Å; angles 103.18, 115.20, 115.20 degrees
Element x y z (fractional)
Pa 0.271 0.000 0.427
Pa 0.844 0.573 0.573
Pa 0.271 0.427 0.000
Pd 0.919 0.000 0.304
Pd 0.615 0.696 0.696
Pd 0.624 0.000 0.444
Pd 0.179 0.556 0.556
Pd 0.919 0.304 0.000
Pd 0.624 0.444 0.000
Zn 0.397 0.000 0.000

## Properties
Space group   R3m (160)
Crystal system   trigonal
Fermi-level density of states   1.194 states/eV/atom
Calculated total energy   -6.44 eV per atom
Calculated volume   20.88 Å³/atom
Formation energy from the elements   -347 meV per atom

Record 18
VASP calculation (PBE) on GaPbSe3 after structural relaxation.

Cell lengths 5.487, 5.487, 5.487 Å; angles 90.00, 90.00, 90.00 degrees
Element x y z (fractional)
Pb 0.000 0.000 0.000
Se 0.000 0.500 0.000
Se 0.000 0.000 0.500
Se 0.500 0.000 0.000
Ga 0.500 0.500 0.500

## Properties
Space group   Pm-3m (221)
Crystal system   cubic
Fermi-level density of states   0.936 states/eV/atom
Calculated total energy   -3.09 eV per atom
Energy above the lowest structure with this stoichiometry   0.835 eV/atom
Formation energy (no corrections)   0.346 eV per atom
Calculated volume   33.04 Å³/atom

Record 19
VASP calculation (PBE) on DyTmNi after structural relaxation.

Cell lengths 3.375, 3.375, 6.602 Å; angles 104.81, 104.81, 90.00 degrees
Element x y z (fractional)
Ni 0.669 0.669 0.338
Tm 0.297 0.297 0.594
Dy 0.034 0.034 0.068

## Properties
Space group   I4mm (107)
Crystal system   tetragonal
Fermi-level density of states   0.801 states/eV/atom
Calculated total energy   -5.22 eV per atom
Energy above the lowest structure with this stoichiometry   0.038 eV/atom
Calculated volume   23.37 Å³/atom
Formation energy from the elements   -268 meV per atom

Record 20
VASP calculation (PBE) on K4Br2F after structural relaxation.

Cell lengths 5.314, 5.314, 9.690 Å; angles 74.09, 74.09, 90.00 degrees
Element x y z (fractional)
Br 0.621 0.621 0.758
Br 0.379 0.379 0.242
K 0.179 0.179 0.642
K 0.821 0.821 0.358
K 0.500 0.000 0.000
K 0.000 0.500 0.000
F 0.000 0.000 0.000

## Properties
Space group   I4/mmm (139)
Crystal system   tetragonal
Fermi-level density of states   0.254 states/eV/atom
Calculated total energy   -3.03 eV per atom
Formation energy (no corrections)   -1.656 eV per atom
Calculated volume   36.03 Å³/atom